The following is a DFT calculation (SCAN) of a crystal of ReMoAs relaxed with PBEsol.

Unit cell a=2.8645 b=4.2381 c=4.2375 alpha=120.01 beta=90.00 gamma=90.00
Last column: nearest neighbours and their distance in Å.
Fractional positions:
1 Re 0.1665 0.3333 0.6666  3 As 2.45
2 As 0.1666 0.0000 0.0000  3 Re 2.45
3 Mo 0.6668 0.6666 0.3334  6 Re 2.83-2.84, 6 As 2.83-2.84, 2 Mo 2.86

Output
Spin magnetization, μB/atom: 0.0000
ΔH_f (0 K), meV per atom: 37
SG: No. 187

The following is a DFT calculation (SCAN) of a crystal of Re3MoAs relaxed with PBEsol.

Unit cell a=4.6405 b=4.6405 c=4.6405 alpha=90.00 beta=90.00 gamma=90.00
Last column: nearest neighbours and their distance in Å.
Fractional positions:
1 Re 0.0000 0.5000 0.0000  2 Mo 2.32
2 Re 0.5000 0.0000 0.0000  2 Mo 2.32
3 Mo 0.0000 0.0000 0.0000  6 Re 2.32
4 As 0.5000 0.5000 0.5000  12 Re 3.28
5 Re 0.0000 0.0000 0.5000  2 Mo 2.32

Output
Spin magnetization, μB/atom: 0.2292
ΔH_f (0 K), meV per atom: 2405
SG: No. 221

The following is a DFT calculation (SCAN) of a crystal of ReMo2As relaxed with PBEsol.

Unit cell a=2.8556 b=4.3384 c=5.0298 alpha=90.00 beta=104.47 gamma=90.00
Last column: nearest neighbours and their distance in Å.
Fractional positions:
1 Mo 0.7356 0.5000 0.2704  3 As 2.54-2.78, 2 Re 2.73, 2 Mo 2.75
2 Re 0.3836 0.0000 0.4891  4 Mo 2.51-2.73, 2 As 2.53
3 Mo 0.9572 0.0000 0.9889  2 Re 2.51-2.64, 2 As 2.75, 2 Mo 2.75
4 As 0.4236 0.5000 0.7516  2 Re 2.53, 5 Mo 2.54-2.78

Output
Spin magnetization, μB/atom: 0.0000
ΔH_f (0 K), meV per atom: 135
SG: No. 6

The following is a DFT calculation (SCAN) of a crystal of Re2MoAs relaxed with PBEsol.

Unit cell a=2.8429 b=2.8429 c=8.6787 alpha=80.57 beta=80.57 gamma=60.00
Last column: nearest neighbours and their distance in Å.
Fractional positions:
1 Re 0.2486 0.2486 0.2543  3 As 2.66, 3 Mo 2.72, 6 Re 2.84
2 Re 0.7514 0.7514 0.7457  3 As 2.66, 3 Mo 2.72, 6 Re 2.84
3 Mo 0.0000 0.0000 0.0000  6 Re 2.72, 6 Mo 2.84
4 As 0.5000 0.5000 0.5000  6 Re 2.66, 6 As 2.84

Output
Spin magnetization, μB/atom: 0.0000
ΔH_f (0 K), meV per atom: 279
SG: No. 166

The following is a DFT calculation (SCAN) of a crystal of ReMo2As relaxed with PBEsol.

Unit cell a=2.8531 b=2.8531 c=8.6942 alpha=80.56 beta=80.56 gamma=60.00
Last column: nearest neighbours and their distance in Å.
Fractional positions:
1 As 0.0000 0.0000 0.0000  6 Mo 2.67, 6 As 2.85
2 Mo 0.7489 0.7489 0.7533  3 As 2.67, 3 Re 2.72, 6 Mo 2.85
3 Re 0.5000 0.5000 0.5000  6 Mo 2.72, 6 Re 2.85
4 Mo 0.2511 0.2511 0.2467  3 As 2.67, 3 Re 2.72, 6 Mo 2.85

Output
Spin magnetization, μB/atom: 0.0000
ΔH_f (0 K), meV per atom: 206
SG: No. 166

The following is a DFT calculation (SCAN) of a crystal of ReMo3As relaxed with PBEsol.

Unit cell a=4.6894 b=4.6894 c=4.6894 alpha=90.00 beta=90.00 gamma=90.00
Last column: nearest neighbours and their distance in Å.
Fractional positions:
1 Mo 0.5000 0.0000 0.0000  2 Re 2.34
2 Mo 0.0000 0.5000 0.0000  2 Re 2.34
3 Mo 0.0000 0.0000 0.5000  2 Re 2.34
4 Re 0.0000 0.0000 0.0000  6 Mo 2.34
5 As 0.5000 0.5000 0.5000  12 Mo 3.32

Output
Spin magnetization, μB/atom: 0.5443
ΔH_f (0 K), meV per atom: 1707
SG: No. 221

> Number 2 is which compound?

Re3MoAs

> Which value of spin magnetization does entry 2 give?

0.2292 μB/atom

> ΔH_f (0 K) of number 4 (Re2MoAs)?

279 meV per atom